DFT (PBE) results for a relaxed structure of ZrBMo.

a = 4.1769 Å, b = 4.1769 Å, c = 4.1769 Å
α = 60.00°, β = 60.00°, γ = 60.00°
With the nearest neighbours (Å) after each atom.
Fractional coordinates of all 3 atoms:
Zr 0.7500 0.7500 0.7500  4 Mo 2.56
Mo 0.0000 0.0000 0.0000  4 Zr 2.56, 4 B 2.56
B 0.2500 0.2500 0.2500  4 Mo 2.56

Values from the calculation:
Energy in eV per atom: -7.447
M_tot in μB/f.u.: 0.18